PBE Ru2PbAuSe, optimized geometry; DOS(E_F) = 0.872 states/eV per atom; formation energy without anion corrections = 0.941 eV/atom; space group = No. 123; calculated volume = 23.341 A^3/atom; theoretical density = 9.75 g/cm3
1.0
4.549 0.000 0.000
0.000 4.549 0.000
0.000 0.000 5.641
Ru Pb Au Se
2 1 1 1
Direct
0.000 0.500 0.000
0.500 0.000 0.000
0.000 0.000 0.500
0.500 0.500 0.500
0.000 0.000 0.000



PBE Te2RuPbAu, optimized geometry; DOS(E_F) = 1.024 states/eV per atom; formation energy without anion corrections = 0.468 eV/atom; space group = No. 123; calculated volume = 28.298 A^3/atom; theoretical density = 8.92 g/cm3
1.0
5.137 0.000 0.000
0.000 5.137 0.000
0.000 0.000 5.362
Te Ru Pb Au
2 1 1 1
Direct
0.000 0.500 0.000
0.500 0.000 0.000
0.000 0.000 0.000
0.000 0.000 0.500
0.500 0.500 0.500



PBE RuPbW2Au, optimized geometry; DOS(E_F) = 1.505 states/eV per atom; space group = No. 123; calculated volume = 23.739 A^3/atom; theoretical density = 12.21 g/cm3; calculated formation energy = 2.316 eV/atom
1.0
4.887 0.000 0.000
0.000 4.887 0.000
0.000 0.000 4.970
Ru Pb W Au
1 1 2 1
Direct
0.000 0.000 0.000
0.500 0.500 0.000
0.000 0.500 0.500
0.500 0.000 0.500
0.000 0.000 0.500



PBE Pb2AuS, optimized geometry; DOS(E_F) = 0.338 states/eV per atom; formation energy without anion corrections = -0.226 eV/atom; space group = No. 166; calculated volume = 26.590 A^3/atom; theoretical density = 10.05 g/cm3
1.0
4.037 0.000 0.000
-2.019 3.496 0.000
0.000 0.000 22.604
Pb Au S
6 3 3
Direct
0.000 0.000 0.248
0.000 0.000 0.752
0.333 0.667 0.419
0.333 0.667 0.915
0.667 0.333 0.085
0.667 0.333 0.581
0.000 0.000 0.000
0.333 0.667 0.667
0.667 0.333 0.333
0.000 0.000 0.500
0.333 0.667 0.167
0.667 0.333 0.833



What did we get for raw total energy? Answer: -4.86, -4.04, -6.12, -3.93 eV per atom, in the order shown.